[1]
# BaAs2PdCl, PBEsol geometry, DFT meta-GGA SCAN
# spin magnetization	0.0	μB per cell
# formation energy without anion corrections	0.046	eV/atom
data_BaAs2PdCl
_cell_length_a 5.2099
_cell_length_b 5.2099
_cell_length_c 4.5492
_cell_angle_alpha 90.00
_cell_angle_beta 90.00
_cell_angle_gamma 90.00
_symmetry_space_group_name_H-M 'P 4/m m m'
_symmetry_Int_Tables_number 123
_symmetry_space_group_name_Hall '-P 4 2'
loop_
_atom_site_label
_atom_site_fract_x
_atom_site_fract_y
_atom_site_fract_z
_atom_site_occupancy
Ba1 0.0000 0.0000 0.0000 1
As1 0.0000 0.5000 0.5000 1
Pd1 0.5000 0.5000 0.0000 1
Cl1 0.5000 0.5000 0.5000 1


[2]
# BaAsSeCl2, PBEsol geometry, DFT meta-GGA SCAN
# spin magnetization	0.6	μB per cell
# formation energy without anion corrections	-0.887	eV/atom
data_BaAsSeCl2
_cell_length_a 4.7902
_cell_length_b 4.7902
_cell_length_c 6.8882
_cell_angle_alpha 90.00
_cell_angle_beta 90.00
_cell_angle_gamma 90.00
_symmetry_space_group_name_H-M 'P 4/m m m'
_symmetry_Int_Tables_number 123
_symmetry_space_group_name_Hall '-P 4 2'
loop_
_atom_site_label
_atom_site_fract_x
_atom_site_fract_y
_atom_site_fract_z
_atom_site_occupancy
Ba1 0.0000 0.0000 0.0000 1
As1 0.0000 0.0000 0.5000 1
Se1 0.5000 0.5000 0.0000 1
Cl1 0.0000 0.5000 0.5000 1


[3]
# Ba2CoAs, PBEsol geometry, DFT meta-GGA SCAN
# energy of formation from the pure elements	-0.06	eV per atom
# spin magnetization	1.9	μB per cell
data_Ba2CoAs
_cell_length_a 4.6342
_cell_length_b 4.6342
_cell_length_c 6.5349
_cell_angle_alpha 90.00
_cell_angle_beta 90.00
_cell_angle_gamma 90.00
_symmetry_space_group_name_H-M 'P 4/m m m'
_symmetry_Int_Tables_number 123
_symmetry_space_group_name_Hall '-P 4 2'
loop_
_atom_site_label
_atom_site_fract_x
_atom_site_fract_y
_atom_site_fract_z
_atom_site_occupancy
Ba1 0.0000 0.0000 0.0000 1
Ba2 0.5000 0.5000 0.5000 1
Co1 0.0000 0.0000 0.5000 1
As1 0.5000 0.5000 0.0000 1


Number 1: theoretical density 5.8 Mg/m³. Number 2: theoretical density 3.8 Mg/m³. Number 3: theoretical density 4.8 Mg/m³.